A plane-wave DFT calculation with PBE-GGA was carried out for a geometry-optimized Ba3SbI2 structure.

VASP energy (eV per cell): -42.6
Formation energy without anion corrections (eV per atom): -1.385
Theoretical density (kg/m3): 4844

a = 5.055 Å, b = 7.060 Å, c = 15.129 Å
α = 90.00°, β = 90.00°, γ = 90.00°
Space group Immm (No. 71)
Symmetry-distinct sites (fractional):
Ba (0.000, 0.000, 0.000) (multiplicity 2)
Ba (0.000, 0.000, 0.349) (multiplicity 4)
Sb (0.000, 0.500, 0.000) (multiplicity 2)
I (0.000, 0.500, 0.329) (multiplicity 4)

A plane-wave DFT calculation with PBE-GGA was carried out for a geometry-optimized Ba6Sb3I2 structure.

VASP energy (eV per cell): -80.8
Formation energy without anion corrections (eV per atom): -1.220
Theoretical density (kg/m3): 4293

a = 8.832 Å, b = 15.296 Å, c = 8.773 Å
α = 90.00°, β = 109.62°, γ = 90.00°
Space group C2/m (No. 12)
Symmetry-distinct sites (fractional):
Ba (0.239, 0.000, 0.218) (multiplicity 4)
Ba (0.240, 0.333, 0.219) (multiplicity 8)
Sb (0.000, 0.167, 0.000) (multiplicity 4)
Sb (0.000, 0.500, 0.000) (multiplicity 2)
I (0.000, 0.333, 0.500) (multiplicity 4)

Question: Look up the theoretical density of the first one.
Answer: 4844 kg/m3

Repeat the first record exactly.
A plane-wave DFT calculation with PBE-GGA was carried out for a geometry-optimized Ba3SbI2 structure.

VASP energy (eV per cell): -42.6
Formation energy without anion corrections (eV per atom): -1.385
Theoretical density (kg/m3): 4844

a = 5.055 Å, b = 7.060 Å, c = 15.129 Å
α = 90.00°, β = 90.00°, γ = 90.00°
Space group Immm (No. 71)
Symmetry-distinct sites (fractional):
Ba (0.000, 0.000, 0.000) (multiplicity 2)
Ba (0.000, 0.000, 0.349) (multiplicity 4)
Sb (0.000, 0.500, 0.000) (multiplicity 2)
I (0.000, 0.500, 0.329) (multiplicity 4)